Li2MnO3 PBE with a Hubbard U optimized geometry; size of the total moment = 11.98 μB per cell; energy = -6.18 eV/atom; symmetry = C2/m, No. 12
1.0
5.0030 -0.0014 -0.0008
-2.4949 4.3365 -0.0008
0.8096 1.3993 9.5962
O Li Mn
12 8 4
Direct
0.4635 0.8207 0.1120
0.5365 0.1793 0.8880
0.1053 0.1053 0.1139
0.8947 0.8947 0.8861
0.3947 0.3947 0.3861
0.6793 0.0365 0.3880
0.3207 0.9635 0.6120
0.6053 0.6053 0.6139
0.9635 0.3207 0.6120
0.1793 0.5365 0.8880
0.0365 0.6793 0.3880
0.8207 0.4635 0.1120
0.2500 0.2500 0.7500
0.5890 0.9110 0.7500
0.5000 0.5000 0.0000
0.4110 0.0890 0.2500
0.0000 0.0000 0.5000
0.9110 0.5890 0.7500
0.0890 0.4110 0.2500
0.7500 0.7500 0.2500
0.1670 0.8330 0.0000
0.6670 0.3330 0.5000
0.8330 0.1670 0.0000
0.3330 0.6670 0.5000